# YZn2Se

A crystal of YZn2Se relaxed with PBEsol (SCAN, Alexandria).

a b c (Å): 3.5038 3.5038 6.2960
angles (deg): 90.00 90.00 90.00
With the nearest neighbours (Å) after each atom.
Positions (direct):
Y 0.0000 0.0000 0.0000  8 Zn 3.08, 2 Se 3.15
Zn 0.5000 0.5000 0.2896  1 Zn 2.65, 4 Se 2.81
Zn 0.5000 0.5000 0.7104  1 Zn 2.65, 4 Se 2.81
Se 0.0000 0.0000 0.5000  8 Zn 2.81

Output
Raw formation energy   -374 meV per atom
Symmetry   No. 123

# Ag2SnPbI

A crystal of Ag2SnPbI relaxed with PBEsol (SCAN, Alexandria).

a b c (Å): 5.2619 5.2619 5.7673
angles (deg): 90.00 90.00 90.00
With the nearest neighbours (Å) after each atom.
Positions (direct):
Ag 0.0000 0.5000 0.0000  2 Pb 2.63
Ag 0.5000 0.0000 0.0000  2 Pb 2.63
Sn 0.0000 0.0000 0.5000  2 Pb 2.88
Pb 0.0000 0.0000 0.0000  4 Ag 2.63, 2 Sn 2.88
I 0.5000 0.5000 0.5000  4 Sn 3.72, 8 Ag 3.90

Output
Raw formation energy   420 meV per atom
Symmetry   No. 123